Na4TlPd3O8: optimized geometry, GGA-PBE.

a b c (Å): 6.227 6.325 7.090
angles (deg): 118.95 116.05 90.00
Last column: magnetic moment on the atom in μB.
Fractional positions:
Na: 0.000 0.000 0.500  0.00
Pd: 0.500 0.500 0.000  0.01
O: 0.766 0.318 0.533  0.13
O: 0.234 0.682 0.467  0.13
O: 0.309 0.364 0.617  0.00
Na: 0.500 0.000 0.000  0.00
O: 0.301 0.759 0.067  0.02
Tl: 0.000 0.500 0.000  0.00
O: 0.766 0.759 0.067  0.02
Na: 0.500 0.000 0.500  0.00
O: 0.699 0.241 0.933  0.02
O: 0.691 0.636 0.383  0.00
Na: 0.000 0.000 0.000  0.00
Pd: 0.500 0.500 0.500  0.17
Pd: 0.000 0.500 0.500  0.17
O: 0.234 0.241 0.933  0.02

Summary:
Size of the total moment, μB/atom: 0.05
ΔE_f (raw), meV/atom: -888
Total energy, eV per atom: -4.819
N(E_F), states/eV/cell: 8.35